Entry from the Alexandria database: a relaxed structure of LiYGa2 (PBE-GGA).

- crystal system = tetragonal
- energy of formation from the pure elements (eV/atom) = -0.443
- N(E_F) (states/eV per cell) = 1.97

Cell and atoms, written as extended XYZ:
```
4
Lattice="3.367 0.000 0.000 0.000 3.367 0.000 0.000 0.000 6.776" Properties=species:S:1:pos:R:3 pbc="T T T"
Li 0.000 0.000 0.000
Y 0.000 0.000 3.388
Ga 1.684 1.684 1.378
Ga 1.684 1.684 5.398
```